No. 1
La2ZrCl after structural relaxation. Source: Alexandria, functional PBE.

Unit cell a=3.412 b=6.587 c=5.195 alpha=90.00 beta=90.00 gamma=90.00
Atoms (fractional coordinates):
1 Zr 0.500 0.000 0.500
2 La 0.000 0.000 0.000
3 La 0.500 0.500 0.000
4 Cl 0.000 0.500 0.500

Properties
- Distance to the lowest polymorph of the same formula: 451 meV per atom
- Crystal system: orthorhombic
- Uncorrected formation energy: -49 kJ/mol of formula units
- Calculated density: 5.8 g/cm3

No. 2
Sm6Er3Th after structural relaxation. Source: Alexandria, functional PBE.

Unit cell a=4.975 b=11.114 c=13.344 alpha=90.00 beta=111.75 gamma=90.00
Atoms (fractional coordinates):
1 Sm 0.003 0.699 0.003
2 Sm 0.360 0.838 0.858
3 Sm 0.860 0.662 0.358
4 Sm 0.640 0.162 0.142
5 Sm 0.219 0.495 0.217
6 Sm 0.719 0.005 0.717
7 Sm 0.997 0.301 0.997
8 Sm 0.503 0.801 0.503
9 Sm 0.281 0.995 0.283
10 Sm 0.140 0.338 0.642
11 Sm 0.781 0.505 0.783
12 Sm 0.497 0.199 0.497
13 Er 0.867 0.343 0.366
14 Er 0.500 0.500 0.000
15 Er 0.000 0.000 0.500
16 Er 0.133 0.657 0.634
17 Er 0.367 0.157 0.866
18 Er 0.633 0.843 0.134
19 Th 0.500 0.500 0.500
20 Th 0.000 0.000 0.000

Properties
- Distance to the lowest polymorph of the same formula: 137 meV per atom
- Crystal system: monoclinic
- Formation energy from the elements: 2.19 eV/f.u.
- Calculated density: 7.9 g/cm3

No. 3
Tl2RhAu after structural relaxation. Source: Alexandria, functional PBE.

Unit cell a=6.342 b=6.342 c=7.691 alpha=65.65 beta=65.65 gamma=90.00
Atoms (fractional coordinates):
1 Au 0.750 0.250 0.500
2 Au 0.000 0.000 0.000
3 Rh 0.500 0.500 0.000
4 Rh 0.250 0.750 0.500
5 Tl 0.375 0.402 0.750
6 Tl 0.598 0.125 0.250
7 Tl 0.875 0.848 0.750
8 Tl 0.152 0.625 0.250

Properties
- Crystal system: tetragonal
- Formation energy from the elements: 1.88 eV/f.u.
- Calculated density: 9.4 g/cm3

No. 4
Pu2Ge5Pd3 after structural relaxation. Source: Alexandria, functional PBE.

Unit cell a=6.128 b=8.505 c=8.505 alpha=74.49 beta=68.89 gamma=68.89
Atoms (fractional coordinates):
1 Ge 0.103 0.058 0.737
2 Ge 0.971 0.779 0.779
3 Ge 0.250 0.500 0.500
4 Ge 0.603 0.737 0.058
5 Ge 0.029 0.221 0.221
6 Ge 0.897 0.942 0.263
7 Ge 0.397 0.263 0.942
8 Ge 0.750 0.500 0.500
9 Ge 0.529 0.221 0.221
10 Ge 0.471 0.779 0.779
11 Pd 0.642 0.465 0.251
12 Pd 0.142 0.251 0.465
13 Pd 0.858 0.749 0.535
14 Pd 0.358 0.535 0.749
15 Pd 0.250 0.000 0.000
16 Pd 0.750 0.000 0.000
17 Pu 0.632 0.139 0.597
18 Pu 0.868 0.403 0.861
19 Pu 0.132 0.597 0.139
20 Pu 0.368 0.861 0.403

Properties
- Crystal system: orthorhombic
- Formation energy from the elements: -5.31 eV/f.u.
- Calculated density: 10.2 g/cm3

No. 5
CsHgPbSe3 after structural relaxation. Source: Alexandria, functional PBE.

Unit cell a=4.380 b=9.727 c=10.655 alpha=107.53 beta=90.00 gamma=90.00
Atoms (fractional coordinates):
1 Se 0.250 0.531 0.841
2 Se 0.250 0.797 0.462
3 Se 0.750 0.469 0.159
4 Se 0.750 0.203 0.538
5 Se 0.250 0.126 0.881
6 Se 0.750 0.874 0.119
7 Pb 0.750 0.340 0.882
8 Pb 0.250 0.660 0.118
9 Cs 0.250 0.209 0.253
10 Cs 0.750 0.791 0.747
11 Hg 0.250 0.092 0.623
12 Hg 0.750 0.908 0.377

Properties
- Crystal system: monoclinic
- Uncorrected formation energy: -291 kJ/mol of formula units
- Calculated density: 6.0 g/cm3

No. 6
AsBrCl4 after structural relaxation. Source: Alexandria, functional PBE.

Unit cell a=5.797 b=5.797 c=5.797 alpha=60.00 beta=60.00 gamma=60.00
Atoms (fractional coordinates):
1 Cl 0.873 0.376 0.376
2 Cl 0.376 0.376 0.873
3 Cl 0.376 0.873 0.376
4 Cl 0.376 0.376 0.376
5 As 0.750 0.750 0.750
6 Br 0.000 0.000 0.000

Properties
- Distance to the lowest polymorph of the same formula: 1260 meV per atom
- Crystal system: cubic
- Uncorrected formation energy: 493 kJ/mol of formula units
- Calculated density: 3.6 g/cm3

No. 7
La3Pr4Al after structural relaxation. Source: Alexandria, functional PBE.

Unit cell a=6.329 b=7.270 c=11.609 alpha=90.00 beta=90.00 gamma=90.00
Atoms (fractional coordinates):
1 Pr 0.492 0.865 0.274
2 Pr 0.492 0.865 0.726
3 Pr 0.175 0.863 0.000
4 Pr 0.119 0.867 0.500
5 Pr 0.992 0.135 0.774
6 Pr 0.992 0.135 0.226
7 Pr 0.675 0.137 0.500
8 Pr 0.619 0.133 0.000
9 La 0.142 0.382 0.500
10 La 0.971 0.608 0.758
11 La 0.971 0.608 0.242
12 La 0.471 0.392 0.258
13 La 0.642 0.618 0.000
14 La 0.471 0.392 0.742
15 Al 0.152 0.378 0.000
16 Al 0.652 0.622 0.500

Properties
- Distance to the lowest polymorph of the same formula: 4 meV per atom
- Crystal system: orthorhombic
- Formation energy from the elements: -0.41 eV/f.u.
- Calculated density: 6.3 g/cm3

No. 8
Sm2DyTl after structural relaxation. Source: Alexandria, functional PBE.

Unit cell a=5.476 b=6.747 c=6.790 alpha=99.50 beta=90.00 gamma=90.00
Atoms (fractional coordinates):
1 Dy 0.250 0.079 0.407
2 Dy 0.750 0.921 0.593
3 Sm 0.250 0.159 0.926
4 Sm 0.750 0.841 0.074
5 Sm 0.750 0.368 0.279
6 Sm 0.250 0.632 0.721
7 Tl 0.750 0.384 0.766
8 Tl 0.250 0.616 0.234

Properties
- Distance to the lowest polymorph of the same formula: 4 meV per atom
- Crystal system: monoclinic
- Formation energy from the elements: -0.74 eV/f.u.
- Calculated density: 9.0 g/cm3

No. 9
U2Tl2InS6 after structural relaxation. Source: Alexandria, functional PBE.

Unit cell a=7.178 b=7.178 c=7.590 alpha=97.44 beta=97.44 gamma=120.14
Atoms (fractional coordinates):
1 S 0.947 0.563 0.298
2 S 0.053 0.437 0.702
3 S 0.675 0.675 0.698
4 S 0.325 0.325 0.302
5 S 0.563 0.947 0.298
6 S 0.437 0.053 0.702
7 U 0.335 0.665 0.500
8 U 0.665 0.335 0.500
9 In 0.000 0.000 0.500
10 Tl 0.849 0.151 0.000
11 Tl 0.151 0.849 0.000

Properties
- Crystal system: monoclinic
- Uncorrected formation energy: -998 kJ/mol of formula units
- Calculated density: 6.1 g/cm3

No. 10
AsPd3Pb3 after structural relaxation. Source: Alexandria, functional PBE.

Unit cell a=6.611 b=6.611 c=7.280 alpha=94.30 beta=94.30 gamma=90.61
Atoms (fractional coordinates):
1 Pd 0.987 0.987 0.193
2 Pd 0.572 0.920 0.686
3 Pd 0.013 0.013 0.807
4 Pd 0.080 0.428 0.314
5 Pd 0.428 0.080 0.314
6 Pd 0.920 0.572 0.686
7 As 0.231 0.231 0.057
8 As 0.769 0.769 0.943
9 Pb 0.690 0.690 0.348
10 Pb 0.715 0.285 0.000
11 Pb 0.285 0.715 0.000
12 Pb 0.310 0.310 0.652
13 Pb 0.192 0.808 0.500
14 Pb 0.808 0.192 0.500

Properties
- Crystal system: monoclinic
- Formation energy from the elements: -1.54 eV/f.u.
- Calculated density: 10.7 g/cm3

No. 11
Ca5Mn2N5 after structural relaxation. Source: Alexandria, functional PBE.

Unit cell a=5.158 b=6.241 c=6.241 alpha=80.17 beta=65.59 gamma=65.59
Atoms (fractional coordinates):
1 Mn 0.247 0.500 0.500
2 Mn 0.747 0.500 0.500
3 N 0.688 0.315 0.315
4 N 0.318 0.685 0.685
5 N 0.445 0.000 0.000
6 N 0.003 0.685 0.315
7 N 0.003 0.315 0.685
8 Ca 0.142 0.391 0.000
9 Ca 0.888 0.000 0.000
10 Ca 0.534 0.000 0.609
11 Ca 0.534 0.609 0.000
12 Ca 0.142 0.000 0.391

Properties
- Crystal system: tetragonal
- Uncorrected formation energy: -714 kJ/mol of formula units
- Calculated density: 3.8 g/cm3

No. 12
Th2ZnNi6B after structural relaxation. Source: Alexandria, functional PBE.

Unit cell a=5.407 b=5.407 c=12.273 alpha=77.28 beta=77.28 gamma=60.00
Atoms (fractional coordinates):
1 B 0.000 0.000 0.000
2 B 0.500 0.500 0.500
3 Ni 0.317 0.796 0.090
4 Ni 0.348 0.891 0.414
5 Ni 0.796 0.317 0.090
6 Ni 0.652 0.109 0.586
7 Ni 0.204 0.204 0.910
8 Ni 0.652 0.652 0.586
9 Ni 0.109 0.652 0.586
10 Ni 0.891 0.348 0.414
11 Ni 0.796 0.796 0.090
12 Ni 0.683 0.204 0.910
13 Ni 0.204 0.683 0.910
14 Ni 0.348 0.348 0.414
15 Zn 0.419 0.419 0.742
16 Zn 0.581 0.581 0.258
17 Th 0.719 0.719 0.844
18 Th 0.281 0.281 0.156
19 Th 0.115 0.115 0.656
20 Th 0.885 0.885 0.344

Properties
- Crystal system: trigonal
- Formation energy from the elements: -4.14 eV/f.u.
- Calculated density: 9.9 g/cm3

No. 13
MgTcSn2Ge after structural relaxation. Source: Alexandria, functional PBE.

Unit cell a=5.357 b=4.769 c=5.357 alpha=90.00 beta=90.00 gamma=90.00
Atoms (fractional coordinates):
1 Sn 0.000 0.000 0.500
2 Sn 0.500 0.000 0.000
3 Mg 0.000 0.500 0.000
4 Ge 0.000 0.000 0.000
5 Tc 0.500 0.500 0.500

Properties
- Crystal system: tetragonal
- Formation energy from the elements: 5.49 eV/f.u.
- Calculated density: 5.2 g/cm3

No. 14
CePa2Ni9 after structural relaxation. Source: Alexandria, functional PBE.

Unit cell a=4.915 b=4.915 c=8.721 alpha=73.64 beta=73.64 gamma=60.00
Atoms (fractional coordinates):
1 Ni 0.083 0.583 0.750
2 Ni 0.583 0.083 0.750
3 Ni 0.417 0.917 0.250
4 Ni 0.500 0.500 0.500
5 Ni 0.417 0.417 0.250
6 Ni 0.917 0.417 0.250
7 Ni 0.583 0.583 0.750
8 Ni 0.333 0.333 0.001
9 Ni 0.667 0.667 0.999
10 Pa 0.861 0.861 0.418
11 Pa 0.139 0.139 0.582
12 Ce 0.000 0.000 0.000

Properties
- Distance to the lowest polymorph of the same formula: 4 meV per atom
- Crystal system: trigonal
- Formation energy from the elements: -4.92 eV/f.u.
- Calculated density: 10.9 g/cm3

No. 15
TcBi2I2 after structural relaxation. Source: Alexandria, functional PBE.

Unit cell a=7.177 b=7.177 c=6.406 alpha=90.00 beta=90.00 gamma=90.00
Atoms (fractional coordinates):
1 I 0.175 0.325 0.000
2 I 0.825 0.675 0.000
3 I 0.325 0.825 0.000
4 I 0.675 0.175 0.000
5 Bi 0.269 0.769 0.500
6 Bi 0.231 0.269 0.500
7 Bi 0.731 0.231 0.500
8 Bi 0.769 0.731 0.500
9 Tc 0.000 0.000 0.000
10 Tc 0.500 0.500 0.000

Properties
- Distance to the lowest polymorph of the same formula: 0 meV per atom
- Crystal system: tetragonal
- Uncorrected formation energy: 318 kJ/mol of formula units
- Calculated density: 7.7 g/cm3

No. 16
BiIrOsPd after structural relaxation. Source: Alexandria, functional PBE.

Unit cell a=3.612 b=2.897 c=14.228 alpha=90.00 beta=90.00 gamma=90.00
Atoms (fractional coordinates):
1 Os 0.500 0.000 0.052
2 Os 0.500 0.500 0.552
3 Ir 0.000 0.500 0.973
4 Ir 0.000 0.000 0.473
5 Pd 0.500 0.000 0.854
6 Pd 0.500 0.500 0.354
7 Bi 0.000 0.500 0.720
8 Bi 0.000 0.000 0.220

Properties
- Distance to the lowest polymorph of the same formula: 0 meV per atom
- Crystal system: orthorhombic
- Formation energy from the elements: 1.53 eV/f.u.
- Calculated density: 15.6 g/cm3

No. 17
SmDy6Y2 after structural relaxation. Source: Alexandria, functional PBE.

Unit cell a=3.462 b=6.023 c=17.383 alpha=116.83 beta=84.28 gamma=73.30
Atoms (fractional coordinates):
1 Dy 0.436 0.190 0.937
2 Dy 0.898 0.808 0.396
3 Dy 0.772 0.188 0.269
4 Dy 0.564 0.810 0.063
5 Dy 0.228 0.812 0.731
6 Dy 0.102 0.192 0.604
7 Sm 0.500 0.500 0.500
8 Y 0.834 0.499 0.833
9 Y 0.166 0.501 0.167

Properties
- Distance to the lowest polymorph of the same formula: 0 meV per atom
- Crystal system: monoclinic
- Formation energy from the elements: 1.77 eV/f.u.
- Calculated density: 7.3 g/cm3

No. 18
Tl2Cd2Ga after structural relaxation. Source: Alexandria, functional PBE.

Unit cell a=4.475 b=4.475 c=7.856 alpha=73.45 beta=73.45 gamma=90.00
Atoms (fractional coordinates):
1 Tl 0.250 0.750 0.500
2 Tl 0.750 0.250 0.500
3 Cd 0.596 0.596 0.809
4 Cd 0.404 0.404 0.191
5 Ga 0.000 0.000 0.000

Properties
- Distance to the lowest polymorph of the same formula: 170 meV per atom
- Crystal system: tetragonal
- Formation energy from the elements: 1.12 eV/f.u.
- Calculated density: 8.1 g/cm3

No. 19
TlSnHg2I after structural relaxation. Source: Alexandria, functional PBE.

Unit cell a=5.596 b=5.596 c=6.223 alpha=90.00 beta=90.00 gamma=90.00
Atoms (fractional coordinates):
1 Hg 0.500 0.000 0.000
2 Hg 0.000 0.500 0.000
3 Tl 0.000 0.000 0.500
4 Sn 0.000 0.000 0.000
5 I 0.500 0.500 0.500

Properties
- Distance to the lowest polymorph of the same formula: 0 meV per atom
- Crystal system: tetragonal
- Uncorrected formation energy: -48 kJ/mol of formula units
- Calculated density: 7.3 g/cm3

No. 20
Zr2VCl after structural relaxation. Source: Alexandria, functional PBE.

Unit cell a=4.745 b=4.745 c=4.745 alpha=60.00 beta=60.00 gamma=60.00
Atoms (fractional coordinates):
1 Zr 0.750 0.750 0.750
2 Zr 0.250 0.250 0.250
3 Cl 0.000 0.000 0.000
4 V 0.500 0.500 0.500

Properties
- Distance to the lowest polymorph of the same formula: 0 meV per atom
- Crystal system: cubic
- Uncorrected formation energy: 145 kJ/mol of formula units
- Calculated density: 5.9 g/cm3

No. 21
SN after structural relaxation. Source: Alexandria, functional PBE.

Unit cell a=3.098 b=4.545 c=5.173 alpha=90.09 beta=89.70 gamma=81.95
Atoms (fractional coordinates):
1 S 0.716 0.685 0.750
2 S 0.284 0.315 0.250
3 N 0.778 0.355 0.750
4 N 0.222 0.645 0.250

Properties
- Crystal system: triclinic
- Uncorrected formation energy: 190 kJ/mol of formula units
- Calculated density: 2.1 g/cm3

No. 22
CsCo4Sn2 after structural relaxation. Source: Alexandria, functional PBE.

Unit cell a=4.811 b=4.811 c=7.507 alpha=71.31 beta=71.31 gamma=90.00
Atoms (fractional coordinates):
1 Sn 0.613 0.613 0.773
2 Sn 0.387 0.387 0.227
3 Co 0.500 0.000 0.000
4 Co 0.000 0.500 0.000
5 Co 0.202 0.202 0.595
6 Co 0.798 0.798 0.405
7 Cs 0.000 0.000 0.000

Properties
- Crystal system: tetragonal
- Formation energy from the elements: 11.48 eV/f.u.
- Calculated density: 6.5 g/cm3

No. 23
CoTcIr2 after structural relaxation. Source: Alexandria, functional PBE.

Unit cell a=8.822 b=8.822 c=8.822 alpha=17.69 beta=17.69 gamma=17.69
Atoms (fractional coordinates):
1 Ir 0.248 0.248 0.248
2 Ir 0.004 0.004 0.004
3 Tc 0.498 0.498 0.498
4 Co 0.750 0.750 0.750

Properties
- Distance to the lowest polymorph of the same formula: 137 meV per atom
- Crystal system: trigonal
- Formation energy from the elements: 0.20 eV/f.u.
- Calculated density: 16.2 g/cm3

For reference, M_tot by record: 0.008; 0.000; 0.000; 21.939; 0.001; 2.111; 0.000; 0.000; 2.993; 0.000; 3.095; 0.000; 3.186; 0.000; 3.028; 0.000; 0.000; 0.000; 0.000; 0.000; 0.000; 3.803; 1.665 μB/cell.
For reference, energy by record: -20.76; -94.46; -26.96; -145.27; -36.66; -8.60; -76.11; -34.30; -65.16; -65.80; -77.37; -123.24; -19.10; -81.88; -35.87; -55.27; -43.49; -8.47; -9.02; -26.56; -20.96; -25.80; -34.99 eV for the cell shown.